Hf2InPb2, optimized geometry, DFT PBE; relative energy among the computed polymorphs = 3 meV/atom; space-group type = I4/mmm
1.0
-2.1896 2.1896 6.6752
2.1896 -2.1896 6.6752
2.1896 2.1896 -6.6752
In Hf Pb
1 2 2
Direct
0.0000 0.0000 0.0000
0.5977 0.5977 0.0000
0.4023 0.4023 0.0000
0.7500 0.2500 0.5000
0.2500 0.7500 0.5000